Compound: DyZr2Tl
Source: Alexandria via LeMat-Bulk
Functional: PBE-GGA
Structure: relaxed

Lattice parameters (Å, degrees): 4.583 4.583 4.601 90.00 90.00 90.00
Fractional coordinates of all 4 atoms:
Dy  0.000  0.000  0.000
Zr  0.000  0.500  0.500
Zr  0.500  0.000  0.500
Tl  0.500  0.500  0.000

## Properties
Total moment: 0.000 μB/f.u.
Space-group type: P4/mmm, No. 123
Calculated formation energy: -0.07 eV/atom
Density of states at the Fermi level: 4.04 states/eV/f.u.
Energy above the most stable polymorph in this dataset: 89 meV per atom